(1)
## LiThH3 (PBE)

Data for crystalline LiThH3 at its relaxed geometry.

Cell: 6.730 4.560 7.801 Å, 90.00 106.81 90.00°
Space group P2_1/c (No. 14)
Symmetry-distinct sites (fractional):
Li  0.108  0.241  0.028
Th  0.321  0.745  0.330
H  0.002  0.009  0.795
H  0.159  0.661  0.039
H  0.458  0.239  0.365

Calculated values
V	229.2	Å³/cell
energy above the lowest structure with this stoichiometry	0	meV per atom
total energy	-21.19	eV per formula unit
magnetization	0.00	μB/f.u.



(2)
## CeEu2Pb (PBE)

Data for crystalline CeEu2Pb at its relaxed geometry.

Cell: 5.027 5.027 5.083 Å, 90.00 90.00 90.00°
Space group P4/mmm (No. 123)
Symmetry-distinct sites (fractional):
Ce  0.000  0.000  0.000
Eu  0.000  0.500  0.500
Pb  0.500  0.500  0.000

Calculated values
V	128.5	Å³/cell
energy above the lowest structure with this stoichiometry	0	meV per atom
total energy	-31.18	eV per formula unit
E_form	-0.2474	eV per atom
magnetization	16.17	μB/f.u.



(3)
## La2NiAs (PBE)

Data for crystalline La2NiAs at its relaxed geometry.

Cell: 4.725 5.715 7.302 Å, 90.00 90.00 90.00°
Space group Immm (No. 71)
Symmetry-distinct sites (fractional):
La  0.000  0.000  0.237
Ni  0.000  0.500  0.500
As  0.000  0.500  0.000

Calculated values
V	197.2	Å³/cell
total energy	-22.97	eV per formula unit
E_form	-0.6706	eV per atom
magnetization	0.00	μB/f.u.